[1]
## La2PrErMg (GGA-PBE)

Data for a relaxed La2PrErMg crystal.

Summary:
Theoretical density   6.08 Mg/m³
Energy of formation   0.012 eV/atom

```
La2PrErMg
1.0
5.672 0.000 0.000
0.000 6.584 1.668
0.000 2.530 9.570
La Pr Er Mg
4 2 2 2
Cartesian
4.254 6.701 9.349 La
1.418 2.412 1.889 La
1.418 1.751 5.556 La
4.254 7.362 5.681 La
4.254 3.716 6.738 Pr
1.418 5.397 4.499 Pr
1.418 8.539 10.601 Er
4.254 0.574 0.637 Er
4.254 4.048 3.209 Mg
1.418 5.065 8.028 Mg
```

---

[2]
## La6Pr2Er3Mg (GGA-PBE)

Data for a relaxed La6Pr2Er3Mg crystal.

Summary:
Theoretical density   6.69 Mg/m³
Energy of formation   0.008 eV/atom

```
La6Pr2Er3Mg
1.0
6.316 -0.001 -0.019
-3.157 5.471 -0.019
-1.017 -1.761 11.797
La Pr Er Mg
6 2 3 1
Cartesian
3.176 1.892 8.772 La
2.122 3.675 2.967 La
-1.033 1.817 2.987 La
0.052 3.696 8.772 La
0.020 0.035 8.791 La
2.091 0.013 2.987 La
-0.002 3.648 -0.019 Pr
3.161 1.822 -0.019 Pr
-2.092 3.681 5.879 Er
4.234 0.028 5.879 Er
1.071 1.855 5.879 Er
0.000 0.000 0.000 Mg
```

---

[3]
## LaErPuMg (GGA-PBE)

Data for a relaxed LaErPuMg crystal.

Summary:
Theoretical density   7.99 Mg/m³
Energy of formation   0.150 eV/atom

```
LaErPuMg
1.0
-2.309 -4.242 2.686
0.291 -5.097 -2.114
3.194 -3.812 2.409
Mg Er La Pu
1 1 1 1
Cartesian
0.000 0.000 0.000 Mg
0.294 -3.288 0.745 Er
0.882 -9.864 2.236 La
0.588 -6.576 1.491 Pu
```

---

[4]
## LaErMgRh (GGA-PBE)

Data for a relaxed LaErMgRh crystal.

Summary:
Theoretical density   7.40 Mg/m³
Energy of formation   -0.351 eV/atom

```
LaErMgRh
1.0
5.162 0.000 0.000
2.581 4.471 0.000
2.581 1.490 4.215
Mg La Rh Er
1 1 1 1
Cartesian
5.162 2.980 2.107 Mg
2.581 1.490 1.054 La
0.000 0.000 0.000 Rh
7.743 4.471 3.161 Er
```

---

no.,volume (Å³ per cell)
1,333.44
2,407.19
3,119.33
4,97.27